Compound: CsRbBa2Hg
Source: Alexandria via LeMat-Bulk
Functional: PBE
Structure: relaxed

Total magnetization   0.000 μB/f.u.
ΔH_f (0 K)   -7.4 kJ/mol of atoms
Fermi-level density of states   4.81 states/eV/cell
Polymorph energy (0 for the lowest one)   2 meV/atom

a b c (Å): 6.8168 6.8168 7.5629
angles (deg): 90.00 90.00 90.00
Atoms (fractional coordinates):
Cs  0.0000  0.0000  0.5000
Ba  0.0000  0.5000  0.0000
Ba  0.5000  0.0000  0.0000
Hg  0.0000  0.0000  0.0000
Rb  0.5000  0.5000  0.5000

Compound: Ca12SnAu6
Source: Alexandria via LeMat-Bulk
Functional: PBE
Structure: relaxed

Total magnetization   0.000 μB/f.u.
ΔH_f (0 K)   -58.0 kJ/mol of atoms
Fermi-level density of states   13.78 states/eV/cell

a b c (Å): 9.0303 9.0303 9.0303
angles (deg): 109.47 109.47 109.47
Atoms (fractional coordinates):
Ca  0.2949  0.1157  0.8208
Ca  0.7051  0.5260  0.8208
Ca  0.8208  0.2949  0.1157
Ca  0.2949  0.4740  0.1792
Ca  0.8843  0.1792  0.7051
Ca  0.5260  0.8208  0.7051
Ca  0.1157  0.8208  0.2949
Ca  0.4740  0.1792  0.2949
Ca  0.1792  0.2949  0.4740
Ca  0.7051  0.8843  0.1792
Ca  0.1792  0.7051  0.8843
Ca  0.8208  0.7051  0.5260
Au  0.3655  0.5000  0.8655
Au  0.5000  0.8655  0.3655
Au  0.1345  0.6345  0.5000
Au  0.5000  0.1345  0.6345
Au  0.8655  0.3655  0.5000
Au  0.6345  0.5000  0.1345
Sn  0.0000  0.0000  0.0000